A plane-wave DFT calculation with PBE was carried out for a relaxed Li6GaSn2 crystal.

Output
Energy of formation from the pure elements = -0.310 eV per atom

extended XYZ file:
```
9
Lattice="6.908 -3.977 0.000 6.908 3.977 0.000 -0.034 0.000 2.928" Properties=species:S:1:pos:R:3 pbc="T T T"
Li 4.595 1.312 2.925
Li 6.908 2.623 0.000
Li 4.595 -1.312 2.925
Li 9.187 1.312 0.003
Li 6.908 -2.623 0.000
Li 9.187 -1.312 0.003
Ga 6.891 0.000 1.464
Sn 2.283 0.000 1.463
Sn 11.499 0.000 1.465
```

---

A plane-wave DFT calculation with PBE was carried out for a relaxed KYIr2 crystal.

Output
Energy of formation from the pure elements = 0.458 eV per atom

extended XYZ file:
```
4
Lattice="3.015 -4.182 0.000 3.015 4.182 0.000 0.000 0.000 3.259" Properties=species:S:1:pos:R:3 pbc="T T T"
K 0.000 0.000 0.000
Y 3.015 0.000 0.000
Ir 1.507 2.091 1.629
Ir 1.507 -2.091 1.629
```

---

A plane-wave DFT calculation with PBE was carried out for a relaxed NaHf2BrN crystal.

Output
ΔE_f (raw) = -8.69 kcal/mol of atoms

extended XYZ file:
```
5
Lattice="4.228 0.000 0.000 0.000 4.228 0.000 0.000 0.000 6.966" Properties=species:S:1:pos:R:3 pbc="T T T"
Na 0.000 0.000 0.000
Hf 0.000 2.114 3.483
Hf 2.114 0.000 3.483
Br 2.114 2.114 0.000
N 2.114 2.114 3.483
```

---

A plane-wave DFT calculation with PBE was carried out for a relaxed PmPrLuSc crystal.

Output
Energy of formation from the pure elements = 0.083 eV per atom

extended XYZ file:
```
4
Lattice="0.000 3.961 3.961 3.961 0.000 3.961 3.961 3.961 0.000" Properties=species:S:1:pos:R:3 pbc="T T T"
Pm 0.000 0.000 0.000
Pr 3.961 3.961 3.961
Lu 1.980 1.980 1.980
Sc 5.941 5.941 5.941
```

---

A plane-wave DFT calculation with PBE was carried out for a relaxed AgP2AuO8 crystal.

Output
ΔE_f (raw) = -25.73 kcal/mol of atoms

extended XYZ file:
```
12
Lattice="2.375 1.371 7.869 -2.375 1.371 7.869 0.000 -2.742 7.869" Properties=species:S:1:pos:R:3 pbc="T T T"
Ag 0.000 0.000 0.000
P 0.000 0.000 5.722
P 0.000 0.000 17.883
Au 0.000 0.000 11.803
O -0.887 -1.342 10.522
O -1.606 0.098 13.084
O 0.000 0.000 7.240
O -0.718 1.439 10.522
O 0.718 -1.439 13.084
O 0.000 0.000 16.365
O 1.606 -0.098 10.522
O 0.887 1.342 13.084
```

---

A plane-wave DFT calculation with PBE was carried out for a relaxed ErVCo4 crystal.

Output
Energy of formation from the pure elements = 0.063 eV per atom

extended XYZ file:
```
12
Lattice="2.011 -7.207 0.000 2.011 7.207 0.000 0.000 0.000 5.899" Properties=species:S:1:pos:R:3 pbc="T T T"
Er 2.011 5.602 4.424
Er 2.011 -5.602 1.475
V 2.011 2.094 4.424
V 2.011 -2.094 1.475
Co 2.011 6.167 1.475
Co 2.011 3.668 0.427
Co 2.011 3.668 2.523
Co 2.011 0.000 0.000
Co 2.011 0.000 2.949
Co 2.011 -3.668 3.376
Co 2.011 -3.668 5.472
Co 2.011 -6.167 4.424
```

---

A plane-wave DFT calculation with PBE was carried out for a relaxed TbPm2Zn2In2 crystal.

Output
Energy of formation from the pure elements = -0.297 eV per atom

extended XYZ file:
```
7
Lattice="2.364 1.365 9.311 -2.364 1.365 9.311 0.000 -2.730 9.311" Properties=species:S:1:pos:R:3 pbc="T T T"
Tb 0.000 0.000 0.000
Pm 0.000 0.000 3.545
Pm 0.000 0.000 24.388
Zn 0.000 0.000 11.001
Zn 0.000 0.000 16.932
In 0.000 0.000 7.440
In 0.000 0.000 20.494
```

---

A plane-wave DFT calculation with PBE was carried out for a relaxed CsMgTlI4 crystal.

Output
ΔE_f (raw) = -25.07 kcal/mol of atoms

extended XYZ file:
```
14
Lattice="8.172 0.000 0.000 0.000 8.434 0.000 -3.214 0.000 9.920" Properties=species:S:1:pos:R:3 pbc="T T T"
Cs 0.580 2.109 4.352
Cs 4.378 6.326 5.568
Mg 1.699 6.326 1.810
Mg 3.259 2.109 8.110
Tl -0.838 2.109 9.420
Tl 5.796 6.326 0.500
I -2.359 6.326 9.140
I -0.412 6.326 3.566
I 1.614 4.252 7.601
I 1.614 8.400 7.601
I 3.344 0.034 2.319
I 3.344 4.183 2.319
I 5.370 2.109 6.354
I 7.317 2.109 0.780
```